[1]
Computed, not measured: crystalline Nd2PuNi9 at its relaxed geometry at the PBE-GGA level of DFT.

Properties
Space-group type: No. 166
N(E_F) in states/eV/cell: 22.77
Formation energy from the elements in eV/atom: -0.2593
Total moment in μB per atom: 0.314

Cell and atoms, written as CIF:
```
data_Nd2PuNi9
_chemical_formula_sum 'Nd2 Pu1 Ni9'
_space_group_name_H-M_alt 'P 1'
_space_group_IT_number 1
_cell_length_a 8.7472
_cell_length_b 8.7472
_cell_length_c 8.7472
_cell_angle_alpha 33.27
_cell_angle_beta 33.27
_cell_angle_gamma 33.27
loop_
_space_group_symop_operation_xyz
'x,y,z'
loop_
_atom_site_label
_atom_site_type_symbol
_atom_site_fract_x
_atom_site_fract_y
_atom_site_fract_z
Nd1 Nd 0.1379 0.1379 0.1379
Nd2 Nd 0.8621 0.8621 0.8621
Pu1 Pu 0.0000 0.0000 0.0000
Ni1 Ni 0.0811 0.5796 0.5796
Ni2 Ni 0.3327 0.3327 0.3327
Ni3 Ni 0.4204 0.4204 0.9189
Ni4 Ni 0.4204 0.9189 0.4204
Ni5 Ni 0.5000 0.5000 0.5000
Ni6 Ni 0.5796 0.0811 0.5796
Ni7 Ni 0.5796 0.5796 0.0811
Ni8 Ni 0.6673 0.6673 0.6673
Ni9 Ni 0.9189 0.4204 0.4204
```



[2]
Computed, not measured: crystalline CoPb2Cl at its relaxed geometry at the PBE-GGA level of DFT.

Properties
Distance to the lowest polymorph of the same formula in eV per atom: 0.3248
Space-group type: No. 47
N(E_F) in states/eV/cell: 4.05
Total moment in μB per atom: 0.504

Cell and atoms, written as CIF:
```
data_CoPb2Cl
_chemical_formula_sum 'Co1 Pb2 Cl1'
_space_group_name_H-M_alt 'P 1'
_space_group_IT_number 1
_cell_length_a 3.3769
_cell_length_b 4.7184
_cell_length_c 6.4091
_cell_angle_alpha 90.00
_cell_angle_beta 90.00
_cell_angle_gamma 90.00
loop_
_space_group_symop_operation_xyz
'x,y,z'
loop_
_atom_site_label
_atom_site_type_symbol
_atom_site_fract_x
_atom_site_fract_y
_atom_site_fract_z
Co1 Co 0.0000 0.0000 0.0000
Pb1 Pb 0.0000 0.5000 0.5000
Pb2 Pb 0.5000 0.5000 0.0000
Cl1 Cl 0.5000 0.0000 0.5000
```



[3]
Computed, not measured: crystalline Hf5TcPd4 at its relaxed geometry at the PBE-GGA level of DFT.

Properties
Space-group type: No. 123
N(E_F) in states/eV/cell: 9.12
Formation energy from the elements in eV/atom: -0.6372
Total moment in μB per atom: 0.000

Cell and atoms, written as CIF:
```
data_Hf5TcPd4
_chemical_formula_sum 'Hf5 Tc1 Pd4'
_space_group_name_H-M_alt 'P 1'
_space_group_IT_number 1
_cell_length_a 3.3200
_cell_length_b 3.3200
_cell_length_c 16.4896
_cell_angle_alpha 90.00
_cell_angle_beta 90.00
_cell_angle_gamma 90.00
loop_
_space_group_symop_operation_xyz
'x,y,z'
loop_
_atom_site_label
_atom_site_type_symbol
_atom_site_fract_x
_atom_site_fract_y
_atom_site_fract_z
Hf1 Hf 0.0000 0.0000 0.0000
Hf2 Hf 0.0000 0.0000 0.2005
Hf3 Hf 0.0000 0.0000 0.4053
Hf4 Hf 0.0000 0.0000 0.5947
Hf5 Hf 0.0000 0.0000 0.7995
Tc1 Tc 0.5000 0.5000 0.5000
Pd1 Pd 0.5000 0.5000 0.1037
Pd2 Pd 0.5000 0.5000 0.3018
Pd3 Pd 0.5000 0.5000 0.6982
Pd4 Pd 0.5000 0.5000 0.8963
```



[4]
Computed, not measured: crystalline ZnInCl3 at its relaxed geometry at the PBE-GGA level of DFT.

Properties
Distance to the lowest polymorph of the same formula in eV per atom: 0.4469
Space-group type: No. 227
N(E_F) in states/eV/cell: 16.62
Total moment in μB per atom: 0.026

Cell and atoms, written as CIF:
```
data_ZnInCl3
_chemical_formula_sum 'Zn4 In4 Cl12'
_space_group_name_H-M_alt 'P 1'
_space_group_IT_number 1
_cell_length_a 9.7133
_cell_length_b 9.7133
_cell_length_c 9.7133
_cell_angle_alpha 60.00
_cell_angle_beta 60.00
_cell_angle_gamma 60.00
loop_
_space_group_symop_operation_xyz
'x,y,z'
loop_
_atom_site_label
_atom_site_type_symbol
_atom_site_fract_x
_atom_site_fract_y
_atom_site_fract_z
Zn1 Zn 0.0000 0.0000 0.0000
Zn2 Zn 0.0000 0.0000 0.5000
Zn3 Zn 0.0000 0.5000 0.0000
Zn4 Zn 0.5000 0.0000 0.0000
In1 In 0.0000 0.5000 0.5000
In2 In 0.5000 0.0000 0.5000
In3 In 0.5000 0.5000 0.0000
In4 In 0.5000 0.5000 0.5000
Cl1 Cl 0.1817 0.1817 0.5683
Cl2 Cl 0.1817 0.5683 0.1817
Cl3 Cl 0.1817 0.5683 0.5683
Cl4 Cl 0.4317 0.4317 0.8183
Cl5 Cl 0.4317 0.8183 0.4317
Cl6 Cl 0.4317 0.8183 0.8183
Cl7 Cl 0.5683 0.1817 0.1817
Cl8 Cl 0.5683 0.1817 0.5683
Cl9 Cl 0.5683 0.5683 0.1817
Cl10 Cl 0.8183 0.4317 0.4317
Cl11 Cl 0.8183 0.4317 0.8183
Cl12 Cl 0.8183 0.8183 0.4317
```



[5]
Computed, not measured: crystalline LaSn2N at its relaxed geometry at the PBE-GGA level of DFT.

Properties
Distance to the lowest polymorph of the same formula in eV per atom: 0.0000
Space-group type: No. 122
N(E_F) in states/eV/cell: 4.75
Total moment in μB per atom: 0.000

Cell and atoms, written as CIF:
```
data_LaSn2N
_chemical_formula_sum 'La4 Sn8 N4'
_space_group_name_H-M_alt 'P 1'
_space_group_IT_number 1
_cell_length_a 9.4187
_cell_length_b 9.4187
_cell_length_c 4.7614
_cell_angle_alpha 90.00
_cell_angle_beta 90.00
_cell_angle_gamma 90.00
loop_
_space_group_symop_operation_xyz
'x,y,z'
loop_
_atom_site_label
_atom_site_type_symbol
_atom_site_fract_x
_atom_site_fract_y
_atom_site_fract_z
La1 La 0.0000 0.0000 0.0000
La2 La 0.0000 0.5000 0.2500
La3 La 0.5000 0.0000 0.7500
La4 La 0.5000 0.5000 0.5000
Sn1 Sn 0.1435 0.2500 0.6250
Sn2 Sn 0.2500 0.6435 0.8750
Sn3 Sn 0.2500 0.8565 0.3750
Sn4 Sn 0.3565 0.2500 0.1250
Sn5 Sn 0.6435 0.7500 0.1250
Sn6 Sn 0.7500 0.1435 0.3750
Sn7 Sn 0.7500 0.3565 0.8750
Sn8 Sn 0.8565 0.7500 0.6250
N1 N 0.0000 0.0000 0.5000
N2 N 0.0000 0.5000 0.7500
N3 N 0.5000 0.0000 0.2500
N4 N 0.5000 0.5000 0.0000
```



[6]
Computed, not measured: crystalline Rb3PaCl8 at its relaxed geometry at the PBE-GGA level of DFT.

Properties
Space-group type: No. 221
N(E_F) in states/eV/cell: 0.00
E in eV/atom: -4.14
Total moment in μB per atom: 0.000

Cell and atoms, written as CIF:
```
data_Rb3PaCl8
_chemical_formula_sum 'Rb3 Pa1 Cl8'
_space_group_name_H-M_alt 'P 1'
_space_group_IT_number 1
_cell_length_a 7.3853
_cell_length_b 7.3853
_cell_length_c 7.3853
_cell_angle_alpha 90.00
_cell_angle_beta 90.00
_cell_angle_gamma 90.00
loop_
_space_group_symop_operation_xyz
'x,y,z'
loop_
_atom_site_label
_atom_site_type_symbol
_atom_site_fract_x
_atom_site_fract_y
_atom_site_fract_z
Rb1 Rb 0.0000 0.0000 0.5000
Rb2 Rb 0.0000 0.5000 0.0000
Rb3 Rb 0.5000 0.0000 0.0000
Pa1 Pa 0.5000 0.5000 0.5000
Cl1 Cl 0.2857 0.2857 0.2857
Cl2 Cl 0.2857 0.2857 0.7143
Cl3 Cl 0.2857 0.7143 0.2857
Cl4 Cl 0.2857 0.7143 0.7143
Cl5 Cl 0.7143 0.2857 0.2857
Cl6 Cl 0.7143 0.2857 0.7143
Cl7 Cl 0.7143 0.7143 0.2857
Cl8 Cl 0.7143 0.7143 0.7143
```



[7]
Computed, not measured: crystalline PmDy5Y2Th at its relaxed geometry at the PBE-GGA level of DFT.

Properties
Space-group type: No. 36
N(E_F) in states/eV/cell: 23.61
Formation energy from the elements in eV/atom: 0.1604
Total moment in μB per atom: 0.000

Cell and atoms, written as CIF:
```
data_PmDy5Y2Th
_chemical_formula_sum 'Pm2 Dy10 Y4 Th2'
_space_group_name_H-M_alt 'P 1'
_space_group_IT_number 1
_cell_length_a 11.0501
_cell_length_b 11.0501
_cell_length_c 9.8225
_cell_angle_alpha 90.00
_cell_angle_beta 90.00
_cell_angle_gamma 149.97
loop_
_space_group_symop_operation_xyz
'x,y,z'
loop_
_atom_site_label
_atom_site_type_symbol
_atom_site_fract_x
_atom_site_fract_y
_atom_site_fract_z
Pm1 Pm 0.1915 0.8085 0.5000
Pm2 Pm 0.8085 0.1915 0.0000
Dy1 Dy 0.0153 0.9847 0.5009
Dy2 Dy 0.2735 0.7265 0.8040
Dy3 Dy 0.3042 0.6958 0.1938
Dy4 Dy 0.4006 0.5994 0.5208
Dy5 Dy 0.4687 0.5313 0.2207
Dy6 Dy 0.5313 0.4687 0.7207
Dy7 Dy 0.5994 0.4006 0.0208
Dy8 Dy 0.6958 0.3042 0.6938
Dy9 Dy 0.7265 0.2735 0.3040
Dy10 Dy 0.9847 0.0153 0.0009
Y1 Y 0.1159 0.8841 0.8134
Y2 Y 0.1265 0.8735 0.1960
Y3 Y 0.8735 0.1265 0.6960
Y4 Y 0.8841 0.1159 0.3134
Th1 Th 0.4080 0.5920 0.9048
Th2 Th 0.5920 0.4080 0.4048
```



[8]
Computed, not measured: crystalline Pa2AlRe at its relaxed geometry at the PBE-GGA level of DFT.

Properties
Distance to the lowest polymorph of the same formula in eV per atom: 0.1897
Space-group type: No. 225
N(E_F) in states/eV/cell: 24.62
Formation energy from the elements in eV/atom: 0.0658
Total moment in μB per atom: 0.000

Cell and atoms, written as CIF:
```
data_Pa2AlRe
_chemical_formula_sum 'Pa8 Al4 Re4'
_space_group_name_H-M_alt 'P 1'
_space_group_IT_number 1
_cell_length_a 6.9962
_cell_length_b 6.9962
_cell_length_c 6.9962
_cell_angle_alpha 90.00
_cell_angle_beta 90.00
_cell_angle_gamma 90.00
loop_
_space_group_symop_operation_xyz
'x,y,z'
loop_
_atom_site_label
_atom_site_type_symbol
_atom_site_fract_x
_atom_site_fract_y
_atom_site_fract_z
Pa1 Pa 0.2500 0.2500 0.2500
Pa2 Pa 0.2500 0.2500 0.7500
Pa3 Pa 0.2500 0.7500 0.2500
Pa4 Pa 0.2500 0.7500 0.7500
Pa5 Pa 0.7500 0.2500 0.2500
Pa6 Pa 0.7500 0.2500 0.7500
Pa7 Pa 0.7500 0.7500 0.2500
Pa8 Pa 0.7500 0.7500 0.7500
Al1 Al 0.0000 0.0000 0.0000
Al2 Al 0.0000 0.5000 0.5000
Al3 Al 0.5000 0.0000 0.5000
Al4 Al 0.5000 0.5000 0.0000
Re1 Re 0.0000 0.0000 0.5000
Re2 Re 0.0000 0.5000 0.0000
Re3 Re 0.5000 0.0000 0.0000
Re4 Re 0.5000 0.5000 0.5000
```



[9]
Computed, not measured: crystalline Sr2AcThSb4 at its relaxed geometry at the PBE-GGA level of DFT.

Properties
Space-group type: No. 10
N(E_F) in states/eV/cell: 7.58
E in eV/atom: -4.92
Total moment in μB per atom: 0.000

Cell and atoms, written as CIF:
```
data_Sr2AcThSb4
_chemical_formula_sum 'Sr2 Ac1 Th1 Sb4'
_space_group_name_H-M_alt 'P 1'
_space_group_IT_number 1
_cell_length_a 8.1750
_cell_length_b 4.7094
_cell_length_c 8.1836
_cell_angle_alpha 90.00
_cell_angle_beta 109.42
_cell_angle_gamma 90.00
loop_
_space_group_symop_operation_xyz
'x,y,z'
loop_
_atom_site_label
_atom_site_type_symbol
_atom_site_fract_x
_atom_site_fract_y
_atom_site_fract_z
Sr1 Sr 0.0000 0.0000 0.0000
Sr2 Sr 0.0000 0.5000 0.5000
Ac1 Ac 0.5000 0.0000 0.5000
Th1 Th 0.5000 0.5000 0.0000
Sb1 Sb 0.2596 0.5000 0.2409
Sb2 Sb 0.2665 0.0000 0.7666
Sb3 Sb 0.7335 0.0000 0.2334
Sb4 Sb 0.7404 0.5000 0.7591
```



[10]
Computed, not measured: crystalline Nb2ZnPRh at its relaxed geometry at the PBE-GGA level of DFT.

Properties
Space-group type: No. 123
N(E_F) in states/eV/cell: 7.56
Formation energy from the elements in eV/atom: 0.1184
Total moment in μB per atom: 0.000

Cell and atoms, written as CIF:
```
data_Nb2ZnPRh
_chemical_formula_sum 'Nb2 Zn1 P1 Rh1'
_space_group_name_H-M_alt 'P 1'
_space_group_IT_number 1
_cell_length_a 4.6141
_cell_length_b 4.6141
_cell_length_c 4.3561
_cell_angle_alpha 90.00
_cell_angle_beta 90.00
_cell_angle_gamma 90.00
loop_
_space_group_symop_operation_xyz
'x,y,z'
loop_
_atom_site_label
_atom_site_type_symbol
_atom_site_fract_x
_atom_site_fract_y
_atom_site_fract_z
Nb1 Nb 0.0000 0.5000 0.0000
Nb2 Nb 0.5000 0.0000 0.0000
Zn1 Zn 0.0000 0.0000 0.5000
P1 P 0.5000 0.5000 0.0000
Rh1 Rh 0.5000 0.5000 0.5000
```